[1]
Compound: Co3P2O16
Source: the Alexandria database
Functional: PBE+U
Structure: relaxed

Unit cell a=7.8757 b=7.8757 c=4.3930 alpha=100.58 beta=100.58 gamma=101.54
Atoms (fractional coordinates):
1 Co 0.0000 0.0000 0.0000
2 Co 0.3746 0.6254 0.0000
3 Co 0.6254 0.3746 0.0000
4 P 0.3205 0.3205 0.3460
5 P 0.6795 0.6795 0.6540
6 O 0.0506 0.8235 0.1693
7 O 0.1675 0.1675 0.3597
8 O 0.1765 0.9494 0.8307
9 O 0.1929 0.6262 0.7372
10 O 0.2395 0.4552 0.1832
11 O 0.3738 0.8071 0.2628
12 O 0.4126 0.4126 0.7086
13 O 0.4552 0.2395 0.1832
14 O 0.5448 0.7605 0.8168
15 O 0.5874 0.5874 0.2914
16 O 0.6262 0.1929 0.7372
17 O 0.7605 0.5448 0.8168
18 O 0.8071 0.3738 0.2628
19 O 0.8235 0.0506 0.1693
20 O 0.8325 0.8325 0.6403
21 O 0.9494 0.1765 0.8307

- crystal system = monoclinic

[2]
Compound: CoP3O
Source: the Alexandria database
Functional: PBE+U
Structure: relaxed

Unit cell a=4.0290 b=4.0290 c=4.0290 alpha=90.00 beta=90.00 gamma=90.00
Atoms (fractional coordinates):
1 Co 0.0000 0.0000 0.0000
2 P 0.0000 0.5000 0.5000
3 P 0.5000 0.0000 0.5000
4 P 0.5000 0.5000 0.0000
5 O 0.5000 0.5000 0.5000

- excess energy over the best structure of this formula in the dataset (eV per atom) = 0.000
- crystal system = cubic

[3]
Compound: Co2P3O9
Source: the Alexandria database
Functional: PBE+U
Structure: relaxed

Unit cell a=6.3943 b=6.3943 c=9.5790 alpha=90.00 beta=90.00 gamma=120.00
Atoms (fractional coordinates):
1 Co 0.3333 0.6667 0.0000
2 Co 0.3333 0.6667 0.5000
3 Co 0.6667 0.3333 0.0000
4 Co 0.6667 0.3333 0.5000
5 P 0.0000 0.2676 0.2500
6 P 0.0000 0.7324 0.7500
7 P 0.2676 0.0000 0.2500
8 P 0.2676 0.2676 0.7500
9 P 0.7324 0.0000 0.7500
10 P 0.7324 0.7324 0.2500
11 O 0.0000 0.2263 0.7500
12 O 0.0000 0.3856 0.1136
13 O 0.0000 0.3856 0.3864
14 O 0.0000 0.6144 0.6136
15 O 0.0000 0.6144 0.8864
16 O 0.0000 0.7737 0.2500
17 O 0.2263 0.0000 0.7500
18 O 0.2263 0.2263 0.2500
19 O 0.3856 0.0000 0.1136
20 O 0.3856 0.0000 0.3864
21 O 0.3856 0.3856 0.6136
22 O 0.3856 0.3856 0.8864
23 O 0.6144 0.0000 0.6136
24 O 0.6144 0.0000 0.8864
25 O 0.6144 0.6144 0.1136
26 O 0.6144 0.6144 0.3864
27 O 0.7737 0.0000 0.2500
28 O 0.7737 0.7737 0.7500

- crystal system = hexagonal

Respective E_tot values: -0.20140 -0.16063 -0.24953 Ha/atom.